# VHgTeF2, optimized geometry, DFT PBE with a Hubbard U
data_VHgTeF2
_symmetry_space_group_name_H-M 'P 1'
_symmetry_Int_Tables_number 1
_cell_length_a 4.115
_cell_length_b 4.115
_cell_length_c 5.984
_cell_angle_alpha 90.00
_cell_angle_beta 90.00
_cell_angle_gamma 90.00
loop_
_symmetry_equiv_pos_as_xyz
'x,y,z'
loop_
_atom_site_label
_atom_site_fract_x
_atom_site_fract_y
_atom_site_fract_z
_atom_site_occupancy
V1 0.000 0.000 0.000 1
Te1 0.000 0.000 0.500 1
Hg1 0.500 0.500 0.500 1
F1 0.500 0.000 0.000 1
F2 0.000 0.500 0.000 1
# DFT total energy: -4.43 eV/atom